Material: Mn2CrSiW
Method: DFT, PBE
State: relaxed

a = 4.088 Å, b = 4.197 Å, c = 4.088 Å
α = 90.00°, β = 90.00°, γ = 90.00°
Positions (direct):
Cr1 0.000 0.500 0.000
Si1 0.000 0.000 0.000
Mn1 0.000 0.000 0.500
Mn2 0.500 0.000 0.000
W1 0.500 0.500 0.500

Output
M_tot ... 1.371 μB/cell
Energy relative to the elements, uncorrected ... 0.941 eV/atom
V ... 14.03 A^3/atom

---

Material: MnCrSiW2
Method: DFT, PBE
State: relaxed

a = 4.522 Å, b = 4.115 Å, c = 4.522 Å
α = 90.00°, β = 90.00°, γ = 90.00°
Positions (direct):
Cr1 0.000 0.000 0.000
Si1 0.500 0.500 0.500
Mn1 0.000 0.500 0.000
W1 0.000 0.000 0.500
W2 0.500 0.000 0.000

Output
M_tot ... 1.689 μB/cell
Energy relative to the elements, uncorrected ... 1.437 eV/atom
V ... 16.83 A^3/atom

---

Material: YMnCrSi2
Method: DFT, PBE
State: relaxed

a = 3.940 Å, b = 3.940 Å, c = 5.890 Å
α = 109.54°, β = 109.54°, γ = 90.00°
Positions (direct):
Y1 0.000 0.000 0.000
Mn1 0.250 0.750 0.500
Cr1 0.750 0.250 0.500
Si1 0.620 0.620 0.240
Si2 0.380 0.380 0.760

Output
M_tot ... 3.560 μB/cell
Energy relative to the elements, uncorrected ... -0.512 eV/atom
V ... 16.11 A^3/atom

---

Material: MnCrSn2
Method: DFT, PBE
State: relaxed

a = 7.367 Å, b = 7.367 Å, c = 6.009 Å
α = 52.19°, β = 52.19°, γ = 90.00°
Positions (direct):
Cr1 0.500 0.500 0.000
Cr2 0.250 0.750 0.500
Mn1 0.000 0.000 0.000
Mn2 0.750 0.250 0.500
Sn1 0.631 0.125 0.250
Sn2 0.119 0.625 0.250
Sn3 0.375 0.369 0.750
Sn4 0.875 0.881 0.750

Output
M_tot ... 12.042 μB/cell
Polymorph energy (0 for the lowest one) ... 179.5 meV per atom
Formation energy from the elements ... 547 meV/atom
V ... 20.32 A^3/atom

---

Material: Mn2CrSn
Method: DFT, PBE
State: relaxed

a = 3.786 Å, b = 3.786 Å, c = 9.116 Å
α = 78.01°, β = 78.01°, γ = 90.00°
Positions (direct):
Cr1 0.500 0.500 0.000
Cr2 0.250 0.750 0.500
Mn1 0.532 0.125 0.250
Mn2 0.218 0.625 0.250
Mn3 0.375 0.468 0.750
Mn4 0.875 0.782 0.750
Sn1 0.000 0.000 0.000
Sn2 0.750 0.250 0.500

Output
M_tot ... 5.373 μB/cell
Formation energy from the elements ... 786 meV/atom
V ... 15.62 A^3/atom

---

Material: MnCr3Sn
Method: DFT, PBE
State: relaxed

a = 5.088 Å, b = 5.088 Å, c = 5.088 Å
α = 90.00°, β = 90.00°, γ = 90.00°
Positions (direct):
Cr1 0.000 0.500 0.000
Cr2 0.000 0.000 0.500
Cr3 0.500 0.000 0.000
Mn1 0.500 0.500 0.500
Sn1 0.000 0.000 0.000

Output
M_tot ... 16.918 μB/cell
Polymorph energy (0 for the lowest one) ... 833.8 meV per atom
Formation energy from the elements ... 1693 meV/atom
V ... 26.34 A^3/atom

---

Material: MnCrSn3
Method: DFT, PBE
State: relaxed

a = 5.034 Å, b = 5.034 Å, c = 5.034 Å
α = 90.00°, β = 90.00°, γ = 90.00°
Positions (direct):
Cr1 0.000 0.000 0.000
Mn1 0.500 0.500 0.500
Sn1 0.000 0.500 0.000
Sn2 0.000 0.000 0.500
Sn3 0.500 0.000 0.000

Output
M_tot ... 5.000 μB/cell
Polymorph energy (0 for the lowest one) ... 79.4 meV per atom
Formation energy from the elements ... 604 meV/atom
V ... 25.51 A^3/atom

---

Material: Mn3CrSn
Method: DFT, PBE
State: relaxed

a = 4.406 Å, b = 4.406 Å, c = 4.406 Å
α = 90.00°, β = 90.00°, γ = 90.00°
Positions (direct):
Cr1 0.000 0.000 0.000
Mn1 0.000 0.500 0.000
Mn2 0.000 0.000 0.500
Mn3 0.500 0.000 0.000
Sn1 0.500 0.500 0.500

Output
M_tot ... 6.052 μB/cell
Polymorph energy (0 for the lowest one) ... 0.0 meV per atom
Formation energy from the elements ... 783 meV/atom
V ... 17.11 A^3/atom

---

Material: Mn4CrSn
Method: DFT, PBE
State: relaxed

a = 4.802 Å, b = 4.802 Å, c = 4.802 Å
α = 60.00°, β = 60.00°, γ = 60.00°
Positions (direct):
Cr1 0.250 0.250 0.250
Mn1 0.626 0.626 0.123
Mn2 0.626 0.123 0.626
Mn3 0.626 0.626 0.626
Mn4 0.123 0.626 0.626
Sn1 0.000 0.000 0.000

Output
M_tot ... 2.829 μB/cell
Formation energy from the elements ... 194 meV/atom
V ... 13.05 A^3/atom

---

Material: MnCrSn3
Method: DFT, PBE
State: relaxed

a = 4.985 Å, b = 4.985 Å, c = 4.985 Å
α = 90.00°, β = 90.00°, γ = 90.00°
Positions (direct):
Cr1 0.500 0.500 0.500
Mn1 0.000 0.000 0.000
Sn1 0.000 0.500 0.000
Sn2 0.000 0.000 0.500
Sn3 0.500 0.000 0.000

Output
M_tot ... 6.644 μB/cell
Polymorph energy (0 for the lowest one) ... 0.0 meV per atom
Formation energy from the elements ... 524 meV/atom
V ... 24.78 A^3/atom

---

Material: MnCr3Sn
Method: DFT, PBE
State: relaxed

a = 4.314 Å, b = 4.314 Å, c = 4.314 Å
α = 90.00°, β = 90.00°, γ = 90.00°
Positions (direct):
Cr1 0.000 0.500 0.000
Cr2 0.000 0.000 0.500
Cr3 0.500 0.000 0.000
Mn1 0.000 0.000 0.000
Sn1 0.500 0.500 0.500

Output
M_tot ... 3.778 μB/cell
Polymorph energy (0 for the lowest one) ... 0.0 meV per atom
Formation energy from the elements ... 859 meV/atom
V ... 16.06 A^3/atom

---

Material: MnCrSn
Method: DFT, PBE
State: relaxed

a = 4.781 Å, b = 3.198 Å, c = 7.148 Å
α = 90.00°, β = 90.00°, γ = 90.00°
Positions (direct):
Cr1 0.500 0.000 0.704
Cr2 0.000 0.500 0.296
Mn1 0.000 0.000 0.538
Mn2 0.500 0.500 0.462
Sn1 0.500 0.500 0.071
Sn2 0.000 0.000 0.929

Output
M_tot ... 0.144 μB/cell
Formation energy from the elements ... 410 meV/atom
V ... 18.22 A^3/atom